Entry 1
The following is a DFT calculation (PBE) of an optimized crystal structure of BaHg2Cl2.

Computed properties:
As for the symmetry: I4/mmm. Its magnetic moment is 0.0 Bohr magnetons per cell.

Cell lengths 10.6031, 10.6031, 10.6031 Å; angles 157.56, 157.56, 31.95 degrees
Last column: nearest neighbours and their distance in Å.
Positions (direct):
Ba 0.0000 0.0000 0.0000  8 Cl 3.33
Hg 0.2500 0.7500 0.5000  4 Hg 2.92
Hg 0.7500 0.2500 0.5000  4 Hg 2.92
Cl 0.4211 0.4211 0.0000  1 Cl 3.22, 4 Ba 3.33
Cl 0.5789 0.5789 0.0000  1 Cl 3.22, 4 Ba 3.33


Entry 2
The following is a DFT calculation (PBE) of an optimized crystal structure of BaHg2Cl2.

Computed properties:
As for the symmetry: P4/mbm. Its magnetic moment is 0.0 Bohr magnetons per cell.

Cell lengths 8.0076, 8.0076, 6.3865 Å; angles 90.00, 90.00, 90.00 degrees
Last column: nearest neighbours and their distance in Å.
Positions (direct):
Ba 0.0000 0.0000 0.0000  4 Cl 2.98
Ba 0.5000 0.5000 0.0000  4 Cl 2.98
Hg 0.1457 0.3543 0.5000  1 Hg 3.30
Hg 0.3543 0.8543 0.5000  1 Hg 3.30
Hg 0.6457 0.1457 0.5000  1 Hg 3.30
Hg 0.8543 0.6457 0.5000  1 Hg 3.30
Cl 0.1669 0.6669 0.0000  2 Ba 2.98
Cl 0.3331 0.1669 0.0000  2 Ba 2.98
Cl 0.6669 0.8331 0.0000  2 Ba 2.98
Cl 0.8331 0.3331 0.0000  2 Ba 2.98


Which is most stable, and by how much? entry 1, by 26 meV per atom.


Entry 1
The following is a DFT calculation (PBE) of an optimized crystal structure of BaHg2Cl.

Computed properties:
As for the symmetry: I-42d. Its magnetic moment is 0.0 Bohr magnetons per cell.

Cell lengths 7.5012, 7.5012, 7.5012 Å; angles 99.57, 99.57, 131.87 degrees
Last column: nearest neighbours and their distance in Å.
Positions (direct):
Ba 0.0000 0.0000 0.0000  2 Cl 3.06
Ba 0.7500 0.2500 0.5000  2 Cl 3.06
Hg 0.1346 0.6250 0.0096  2 Hg 3.06
Hg 0.3750 0.3846 0.5096  2 Hg 3.06
Hg 0.6154 0.1250 0.9904  2 Hg 3.06
Hg 0.8750 0.8654 0.4904  2 Hg 3.06
Cl 0.2500 0.7500 0.5000  2 Ba 3.06
Cl 0.5000 0.5000 0.0000  2 Ba 3.06


Entry 2
The following is a DFT calculation (PBE) of an optimized crystal structure of BaHg2Cl.

Computed properties:
As for the symmetry: Cm. Its magnetic moment is 0.0 Bohr magnetons per cell.

Cell lengths 5.5636, 5.5636, 6.2182 Å; angles 107.55, 107.55, 49.40 degrees
Last column: nearest neighbours and their distance in Å.
Positions (direct):
Ba 0.0000 0.0000 0.0000  3 Cl 3.08
Hg 0.2366 0.2366 0.6048  3 Hg 3.11-3.18
Hg 0.5098 0.5098 0.4792  3 Hg 3.11-3.18
Cl 0.7089 0.7089 0.0576  3 Ba 3.08


Entry 3
The following is a DFT calculation (PBE) of an optimized crystal structure of BaHg2Cl.

Computed properties:
As for the symmetry: P2/m. Its magnetic moment is 0.0 Bohr magnetons per cell.

Cell lengths 4.4981, 4.4961, 6.2565 Å; angles 90.00, 94.05, 90.00 degrees
Last column: nearest neighbours and their distance in Å.
Positions (direct):
Ba 0.0000 0.0000 0.0000  4 Cl 3.18
Hg 0.0000 0.5000 0.5000  4 Hg 3.18
Hg 0.5000 0.0000 0.5000  4 Hg 3.18
Cl 0.5000 0.5000 0.0000  4 Ba 3.18


Which is most stable, and by how much? entry 3, by 31 meV per atom.